No. 1
NaSbRu3 GGA-PBE optimized geometry; total magnetization = 3.7 Bohr magnetons per cell; energy above the lowest structure with this stoichiometry = 0 meV per atom; space-group type = Pm-3m; energy relative to the elements, uncorrected = 1.37 eV/atom; final energy = -26.44 eV/f.u.
1.0
4.919 0.000 0.000
0.000 4.919 0.000
0.000 0.000 4.919
Na Sb Ru
1 1 3
Direct
0.000 0.000 0.000 Na
0.500 0.500 0.500 Sb
0.000 0.500 0.500 Ru
0.500 0.000 0.500 Ru
0.500 0.500 0.000 Ru


No. 2
Nb2GaPdBr GGA-PBE optimized geometry; total magnetization = 0.0 Bohr magnetons per cell; space-group type = P4/mmm; energy relative to the elements, uncorrected = 1.27 eV/atom; final energy = -23.66 eV/f.u.
1.0
5.012 0.000 0.000
0.000 5.012 0.000
0.000 0.000 4.855
Nb Ga Pd Br
2 1 1 1
Direct
0.000 0.500 0.000 Nb
0.500 0.000 0.000 Nb
0.000 0.000 0.500 Ga
0.500 0.500 0.000 Pd
0.500 0.500 0.500 Br


No. 3
LiCa2AlO GGA-PBE optimized geometry; total magnetization = 0.0 Bohr magnetons per cell; space-group type = P4/mmm; energy relative to the elements, uncorrected = -1.12 eV/atom; final energy = -20.22 eV/f.u.
1.0
4.952 0.000 0.000
0.000 4.952 0.000
0.000 0.000 4.066
Li Ca Al O
1 2 1 1
Direct
0.000 0.000 0.000 Li
0.000 0.500 0.500 Ca
0.500 0.000 0.500 Ca
0.500 0.500 0.000 Al
0.000 0.000 0.500 O


No. 4
RbAlCoCl6 GGA-PBE optimized geometry; total magnetization = 3.0 Bohr magnetons per cell; space-group type = C2; energy relative to the elements, uncorrected = -1.30 eV/atom; final energy = -34.61 eV/f.u.
1.0
3.140 -5.430 0.000
3.140 5.430 0.000
-0.053 0.000 7.432
Rb Al Co Cl
1 1 1 6
Direct
0.000 0.000 0.000 Rb
0.667 0.333 0.500 Al
0.332 0.668 0.500 Co
0.379 0.012 0.681 Cl
0.383 0.372 0.316 Cl
0.628 0.617 0.684 Cl
0.634 0.012 0.318 Cl
0.988 0.366 0.682 Cl
0.988 0.621 0.319 Cl


No. 5
Ba4BiSbCl2 GGA-PBE optimized geometry; total magnetization = 0.0 Bohr magnetons per cell; space-group type = P2/m; energy relative to the elements, uncorrected = -1.55 eV/atom; final energy = -31.78 eV/f.u.
1.0
8.227 0.000 0.000
0.000 5.001 0.000
-3.084 0.000 8.154
Ba Bi Sb Cl
4 1 1 2
Direct
0.242 0.000 0.245 Ba
0.244 0.500 0.753 Ba
0.756 0.500 0.247 Ba
0.758 0.000 0.755 Ba
0.000 0.000 0.500 Bi
0.000 0.500 0.000 Sb
0.500 0.000 0.000 Cl
0.500 0.500 0.500 Cl


No. 6
HoSnHg GGA-PBE optimized geometry; total magnetization = 0.0 Bohr magnetons per cell; space-group type = F-43m; final energy = -9.83 eV/f.u.; energy of formation from the pure elements = -0.32 eV/atom
1.0
0.000 3.462 3.462
3.462 0.000 3.462
3.462 3.462 0.000
Ho Sn Hg
1 1 1
Direct
0.000 0.000 0.000 Ho
0.500 0.500 0.500 Sn
0.250 0.250 0.250 Hg


No. 7
Li8Zn6Ga GGA-PBE optimized geometry; total magnetization = 0.0 Bohr magnetons per cell; space-group type = R-3; final energy = -28.01 eV/f.u.; energy of formation from the pure elements = -0.14 eV/atom
1.0
3.403 1.965 5.803
-3.403 1.965 5.803
0.000 -3.930 5.803
Li Zn Ga
8 6 1
Direct
0.085 0.085 0.085 Li
0.163 0.634 0.322 Li
0.322 0.163 0.634 Li
0.366 0.678 0.837 Li
0.634 0.322 0.163 Li
0.678 0.837 0.366 Li
0.837 0.366 0.678 Li
0.915 0.915 0.915 Li
0.016 0.558 0.783 Zn
0.217 0.984 0.442 Zn
0.442 0.217 0.984 Zn
0.558 0.783 0.016 Zn
0.783 0.016 0.558 Zn
0.984 0.442 0.217 Zn
0.500 0.500 0.500 Ga


No. 8
Rb8Bi2Cl GGA-PBE optimized geometry; total magnetization = 0.0 Bohr magnetons per cell; space-group type = C2/m; energy relative to the elements, uncorrected = -0.50 eV/atom; final energy = -22.89 eV/f.u.
1.0
9.935 -3.231 0.000
9.935 3.231 0.000
-2.135 0.000 11.083
Rb Bi Cl
8 2 1
Direct
0.060 0.060 0.234 Rb
0.218 0.218 0.581 Rb
0.302 0.302 0.943 Rb
0.421 0.421 0.353 Rb
0.579 0.579 0.647 Rb
0.698 0.698 0.057 Rb
0.782 0.782 0.419 Rb
0.940 0.940 0.766 Rb
0.241 0.241 0.245 Bi
0.759 0.759 0.755 Bi
0.000 0.000 0.500 Cl


No. 9
Ce2UTc2C4 GGA-PBE optimized geometry; total magnetization = 0.0 Bohr magnetons per cell; space-group type = C2/m; final energy = -81.44 eV/f.u.; energy of formation from the pure elements = -0.07 eV/atom
1.0
7.097 -1.615 0.000
7.097 1.615 0.000
-1.771 0.000 5.669
Ce U Tc C
2 1 2 4
Direct
0.128 0.128 0.021 Ce
0.872 0.872 0.979 Ce
0.000 0.000 0.500 U
0.321 0.321 0.483 Tc
0.679 0.679 0.517 Tc
0.240 0.240 0.739 C
0.461 0.461 0.746 C
0.539 0.539 0.254 C
0.760 0.760 0.261 C


No. 10
Ac2SmInSe5 GGA-PBE optimized geometry; total magnetization = 0.0 Bohr magnetons per cell; space-group type = Cmc2_1; energy relative to the elements, uncorrected = -1.59 eV/atom; final energy = -47.37 eV/f.u.
1.0
2.143 -9.234 0.000
2.143 9.234 0.000
0.000 0.000 13.190
Ac Sm In Se
4 2 2 10
Direct
0.122 0.878 0.500 Ac
0.129 0.871 0.880 Ac
0.871 0.129 0.380 Ac
0.878 0.122 0.000 Ac
0.193 0.807 0.196 Sm
0.807 0.193 0.696 Sm
0.436 0.564 0.674 In
0.564 0.436 0.174 In
0.029 0.971 0.290 Se
0.292 0.708 0.527 Se
0.300 0.700 0.854 Se
0.352 0.648 0.196 Se
0.493 0.507 0.486 Se
0.507 0.493 0.986 Se
0.648 0.352 0.696 Se
0.700 0.300 0.354 Se
0.708 0.292 0.027 Se
0.971 0.029 0.790 Se


No. 11
ScZn2Ir GGA-PBE optimized geometry; total magnetization = 0.0 Bohr magnetons per cell; space-group type = Cmmm; final energy = -18.82 eV/f.u.; energy of formation from the pure elements = -0.27 eV/atom
1.0
2.658 -3.952 0.000
2.658 3.952 0.000
0.000 0.000 3.022
Sc Zn Ir
1 2 1
Direct
0.000 0.000 0.000 Sc
0.000 0.500 0.500 Zn
0.500 0.000 0.500 Zn
0.500 0.500 0.000 Ir


No. 12
Ca2CdPt GGA-PBE optimized geometry; total magnetization = 0.0 Bohr magnetons per cell; space-group type = P2/m; final energy = -13.48 eV/f.u.; energy of formation from the pure elements = -0.63 eV/atom
1.0
3.523 0.000 0.000
0.000 3.635 0.000
-0.016 0.000 7.717
Ca Cd Pt
2 1 1
Direct
0.000 0.000 0.216 Ca
0.000 0.000 0.784 Ca
0.500 0.500 0.500 Cd
0.500 0.500 0.000 Pt